No. 1
# RbFeSe2N PBEsol relaxed
# Uncorrected formation energy   0.62 kJ/mol of atoms
# Size of the total moment   1.2 μB per formula unit
data_RbFeSe2N
_chemical_formula_sum 'Rb1 Fe1 Se2 N1'
_space_group_name_H-M_alt 'P 4/m m m'
_space_group_IT_number 123
_space_group_name_Hall '-P 4 2'
_cell_length_a 5.340
_cell_length_b 5.340
_cell_length_c 3.400
_cell_angle_alpha 90.00
_cell_angle_beta 90.00
_cell_angle_gamma 90.00
loop_
_atom_site_label
_atom_site_fract_x
_atom_site_fract_y
_atom_site_fract_z
_atom_site_occupancy
Rb1 0.000 0.000 0.000 1
Fe1 0.500 0.500 0.500 1
Se1 0.000 0.500 0.500 1
N1 0.500 0.500 0.000 1

***

No. 2
# ScAg3Pt PBEsol relaxed
# Energy of formation   7.00 eV/f.u.
# Size of the total moment   0.0 μB per formula unit
data_ScAg3Pt
_chemical_formula_sum 'Sc1 Ag3 Pt1'
_space_group_name_H-M_alt 'P m -3 m'
_space_group_IT_number 221
_space_group_name_Hall '-P 4 2 3'
_cell_length_a 4.784
_cell_length_b 4.784
_cell_length_c 4.784
_cell_angle_alpha 90.00
_cell_angle_beta 90.00
_cell_angle_gamma 90.00
loop_
_atom_site_label
_atom_site_fract_x
_atom_site_fract_y
_atom_site_fract_z
_atom_site_occupancy
Sc1 0.000 0.000 0.000 1
Ag1 0.000 0.000 0.500 1
Pt1 0.500 0.500 0.500 1

***

No. 3
# TlWBr PBEsol relaxed
# Uncorrected formation energy   190.93 kJ/mol of atoms
# Size of the total moment   4.2 μB per formula unit
data_TlWBr
_chemical_formula_sum 'Tl4 W4 Br4'
_space_group_name_H-M_alt 'F -4 3 m'
_space_group_IT_number 216
_space_group_name_Hall 'F -4 2 3'
_cell_length_a 7.006
_cell_length_b 7.006
_cell_length_c 7.006
_cell_angle_alpha 90.00
_cell_angle_beta 90.00
_cell_angle_gamma 90.00
loop_
_atom_site_label
_atom_site_fract_x
_atom_site_fract_y
_atom_site_fract_z
_atom_site_occupancy
Tl1 0.000 0.000 0.000 1
W1 0.250 0.250 0.250 1
Br1 0.250 0.250 0.750 1

***

No. 4
# AlCr2Ag PBEsol relaxed
# Energy of formation   1.18 eV/f.u.
# Size of the total moment   0.0 μB per formula unit
data_AlCr2Ag
_chemical_formula_sum 'Al1 Cr2 Ag1'
_space_group_name_H-M_alt 'P 4/m m m'
_space_group_IT_number 123
_space_group_name_Hall '-P 4 2'
_cell_length_a 3.538
_cell_length_b 3.538
_cell_length_c 4.219
_cell_angle_alpha 90.00
_cell_angle_beta 90.00
_cell_angle_gamma 90.00
loop_
_atom_site_label
_atom_site_fract_x
_atom_site_fract_y
_atom_site_fract_z
_atom_site_occupancy
Al1 0.000 0.000 0.000 1
Cr1 0.000 0.500 0.500 1
Ag1 0.500 0.500 0.000 1

***

No. 5
# BaLiSb PBEsol relaxed
# Uncorrected formation energy   -57.85 kJ/mol of atoms
# Size of the total moment   0.0 μB per formula unit
data_BaLiSb
_chemical_formula_sum 'Ba2 Li2 Sb2'
_space_group_name_H-M_alt 'I 4 m m'
_space_group_IT_number 107
_space_group_name_Hall 'I 4 -2'
_cell_length_a 4.634
_cell_length_b 4.634
_cell_length_c 9.179
_cell_angle_alpha 90.00
_cell_angle_beta 90.00
_cell_angle_gamma 90.00
loop_
_atom_site_label
_atom_site_fract_x
_atom_site_fract_y
_atom_site_fract_z
_atom_site_occupancy
Ba1 0.000 0.000 0.000 1
Li1 0.000 0.000 0.668 1
Sb1 0.000 0.000 0.362 1

***

No. 6
# CdRh4 PBEsol relaxed
# Energy of formation   0.30 eV/f.u.
# Size of the total moment   0.0 μB per formula unit
data_CdRh4
_chemical_formula_sum 'Cd2 Rh8'
_space_group_name_H-M_alt 'I 4/m'
_space_group_IT_number 87
_space_group_name_Hall '-I 4'
_cell_length_a 6.122
_cell_length_b 6.122
_cell_length_c 3.834
_cell_angle_alpha 90.00
_cell_angle_beta 90.00
_cell_angle_gamma 90.00
loop_
_atom_site_label
_atom_site_fract_x
_atom_site_fract_y
_atom_site_fract_z
_atom_site_occupancy
Cd1 0.000 0.000 0.000 1
Rh1 0.098 0.690 0.500 1

***

No. 7
# ZrAlF2 PBEsol relaxed
# Uncorrected formation energy   -110.42 kJ/mol of atoms
# Size of the total moment   0.0 μB per formula unit
data_ZrAlF2
_chemical_formula_sum 'Zr4 Al4 F8'
_space_group_name_H-M_alt 'F m -3 m'
_space_group_IT_number 225
_space_group_name_Hall '-F 4 2 3'
_cell_length_a 6.024
_cell_length_b 6.024
_cell_length_c 6.024
_cell_angle_alpha 90.00
_cell_angle_beta 90.00
_cell_angle_gamma 90.00
loop_
_atom_site_label
_atom_site_fract_x
_atom_site_fract_y
_atom_site_fract_z
_atom_site_occupancy
Zr1 0.000 0.000 0.000 1
Al1 0.000 0.000 0.500 1
F1 0.250 0.250 0.250 1

***

No. 8
# KSc2Al PBEsol relaxed
# Energy of formation   0.41 eV/f.u.
# Size of the total moment   0.0 μB per formula unit
data_KSc2Al
_chemical_formula_sum 'K1 Sc2 Al1'
_space_group_name_H-M_alt 'P 4/m m m'
_space_group_IT_number 123
_space_group_name_Hall '-P 4 2'
_cell_length_a 3.201
_cell_length_b 3.201
_cell_length_c 10.582
_cell_angle_alpha 90.00
_cell_angle_beta 90.00
_cell_angle_gamma 90.00
loop_
_atom_site_label
_atom_site_fract_x
_atom_site_fract_y
_atom_site_fract_z
_atom_site_occupancy
K1 0.000 0.000 0.000 1
Sc1 0.500 0.500 0.326 1
Al1 0.000 0.000 0.500 1